Density functional theory data (PBE with a Hubbard U) for an optimized crystal structure of TiVZnP3O12.

Total energy ... -265.7 eV for the cell shown
Volume ... 12.49 Å³ per atom

Unit cell a=8.558 b=8.558 c=8.558 alpha=60.65 beta=60.65 gamma=60.65
Positions (direct):
1 Ti 0.000 0.000 0.000
2 Ti 0.500 0.500 0.500
3 V 0.287 0.287 0.287
4 V 0.787 0.787 0.787
5 Zn 0.146 0.146 0.146
6 Zn 0.646 0.646 0.646
7 P 0.101 0.392 0.690
8 P 0.190 0.892 0.601
9 P 0.392 0.690 0.101
10 P 0.601 0.190 0.892
11 P 0.690 0.101 0.392
12 P 0.892 0.601 0.190
13 O 0.036 0.824 0.642
14 O 0.052 0.405 0.208
15 O 0.091 0.230 0.887
16 O 0.142 0.324 0.536
17 O 0.142 0.958 0.765
18 O 0.208 0.052 0.405
19 O 0.230 0.887 0.091
20 O 0.265 0.458 0.642
21 O 0.324 0.536 0.142
22 O 0.387 0.730 0.591
23 O 0.405 0.208 0.052
24 O 0.458 0.642 0.265
25 O 0.536 0.142 0.324
26 O 0.552 0.708 0.905
27 O 0.591 0.387 0.730
28 O 0.642 0.036 0.824
29 O 0.642 0.265 0.458
30 O 0.708 0.905 0.552
31 O 0.730 0.591 0.387
32 O 0.765 0.142 0.958
33 O 0.824 0.642 0.036
34 O 0.887 0.091 0.230
35 O 0.905 0.552 0.708
36 O 0.958 0.765 0.142